(1)
A relaxed structure of TbPm6Th2. Source: Alexandria, functional PBE.

POSCAR file:
```
TbPm6Th2
1.0
3.612 0.000 0.000
-1.806 3.128 0.000
0.000 0.000 27.001
Tb Pm Th
1 6 2
direct
0.333 0.667 0.000
0.667 0.333 0.892
0.333 0.667 0.437
0.333 0.667 0.780
0.333 0.667 0.220
0.333 0.667 0.563
0.667 0.333 0.108
0.667 0.333 0.329
0.667 0.333 0.671
```

Crystal system ... hexagonal
Electronic total energy ... -5.26 eV per atom
Energy of formation ... 0.0720 eV per atom

---

(2)
A relaxed structure of Tb2Pm2Th. Source: Alexandria, functional PBE.

POSCAR file:
```
Tb2Pm2Th
1.0
3.539 0.000 0.000
0.000 5.413 -0.105
0.000 -2.549 8.615
Tb Pm Th
2 2 1
direct
0.500 0.397 0.795
0.500 0.603 0.205
0.000 0.803 0.605
0.000 0.197 0.395
0.000 0.000 0.000
```

Relative energy among the computed polymorphs ... 45 meV/atom
Crystal system ... monoclinic
Electronic total energy ... -5.18 eV per atom
Energy of formation ... 0.0580 eV per atom